DFT (PBE) results for a geometry-optimized NpTlAg2I8 structure.

Summary:
ΔE_f (raw) = -4.96 eV per formula unit
DOS(E_F) = 13.13 states/eV per cell

abc: 8.7520 8.7520 8.7520
angles: 109.22 109.22 109.97
With the nearest neighbours (Å) after each atom.
Fractional positions:
Np 0.0000 0.0000 0.0000  8 I 3.06-3.35
Tl 0.2500 0.7500 0.5000  4 I 3.31
Ag 0.5000 0.5000 0.0000  4 I 2.81
Ag 0.7500 0.2500 0.5000  4 I 2.82
I 0.2831 0.1077 0.8246  1 Ag 2.81
I 0.2831 0.4585 0.1754  1 Ag 2.81
I 0.3552 0.0593 0.2959  1 Ag 2.82, 1 Np 3.06
I 0.5415 0.7169 0.8246  1 Ag 2.81
I 0.7635 0.0593 0.7041  1 Ag 2.82, 1 Np 3.06
I 0.8923 0.7169 0.1754  1 Ag 2.81
I 0.9407 0.2365 0.2959  1 Ag 2.82, 1 Np 3.06
I 0.9407 0.6448 0.7041  1 Ag 2.82, 1 Np 3.06